Entry from the Alexandria database: a relaxed structure of CoReN2F (PBE+U).

Results
For the spin magnetization, the calculation gives 0.4479 μB per atom. The total energy comes out at -34.61 eV per cell.

Unit cell a=3.888 b=3.888 c=4.071 alpha=90.00 beta=90.00 gamma=90.00
Element x y z (fractional)
Co 0.000 0.000 0.000
Re 0.500 0.500 0.500
N 0.000 0.500 0.500
N 0.500 0.000 0.500
F 0.500 0.500 0.000